Record 1
The following is a PBE calculation of an optimized crystal structure of TiTeAu3, from the Alexandria database.

The calculation puts the total energy at -3.52 eV per atom. Its density of states at the Fermi level is 4.8 states/eV/f.u. The energy relative to the elements, uncorrected comes out at 0.658 eV per atom. The value obtained for the energy above the most stable polymorph in this dataset is 0 meV per atom. For the mass density, the calculation gives 10.1 g/cm³.

The space group is Pm-3m (No. 221) and the conventional cell measures 5.017, 5.017 and 5.017 Å, with angles of 90.00, 90.00 and 90.00 degrees. The distinct sites, in fractional coordinates, are Ti at (0.000, 0.000, 0.000), Te at (0.500, 0.500, 0.500) and Au at (0.000, 0.000, 0.500).

Record 2
The following is a PBE calculation of an optimized crystal structure of FePb, from the Alexandria database.

The calculation puts the total energy at -5.58 eV per atom. Its density of states at the Fermi level is 1.5 states/eV/f.u. For the mass density, the calculation gives 10.3 g/cm³.

The space group is Imma (No. 74) and the conventional cell measures 3.267, 4.473 and 11.616 Å, with angles of 90.00, 90.00 and 90.00 degrees. The distinct sites, in fractional coordinates, are Fe at (0.000, 0.250, 0.177) and Pb at (0.000, 0.250, 0.614).

Record 3
The following is a PBE calculation of an optimized crystal structure of Ho2Zn5Ru2Au, from the Alexandria database.

The calculation puts the total energy at -3.97 eV per atom. Its density of states at the Fermi level is 6.9 states/eV/f.u. For the mass density, the calculation gives 9.9 g/cm³.

The space group is P4/mbm (No. 127) and the conventional cell measures 9.492, 9.492 and 3.948 Å, with angles of 90.00, 90.00 and 90.00 degrees. The distinct sites, in fractional coordinates, are Ho at (0.176, 0.324, 0.000), Zn at (0.000, 0.500, 0.500), Zn at (0.059, 0.798, 0.500), Ru at (0.124, 0.624, 0.000) and Au at (0.000, 0.000, 0.000).

Record 4
The following is a PBE calculation of an optimized crystal structure of Te2Pd2Br, from the Alexandria database.

The calculation puts the total energy at -3.97 eV per atom. Its density of states at the Fermi level is 2.4 states/eV/f.u. The energy relative to the elements, uncorrected comes out at -0.299 eV per atom. The value obtained for the energy above the most stable polymorph in this dataset is 0 meV per atom. For the mass density, the calculation gives 7.0 g/cm³.

The space group is C2/m (No. 12) and the conventional cell measures 12.450, 5.543 and 8.039 Å, with angles of 90.00, 110.87 and 90.00 degrees. The distinct sites, in fractional coordinates, are Te at (0.010, 0.000, 0.288), Te at (0.161, 0.500, 0.568), Pd at (0.008, 0.500, 0.746), Pd at (0.173, 0.000, 0.603) and Br at (0.155, 0.500, 0.085).